[1]
Material: NdTiH2
Method: DFT, PBE
State: optimized geometry

Properties
Crystal system ... trigonal
V ... 12.61 A^3/atom
VASP energy ... -5.021 eV per atom

abc: 3.1732 3.1732 17.3584
angles: 90.00 90.00 120.00
Closest atoms and distances in Å follow each position.
Space group R-3m (No. 166, hexagonal axes)
Unique sites:
Nd 0.0000 0.0000 0.0000 (multiplicity 3)  6 H 2.72
Ti 0.0000 0.0000 0.5000 (multiplicity 3)  6 H 2.03
H 0.0000 0.0000 0.2177 (multiplicity 6)  3 Ti 2.03

***

[2]
Material: SrHgPt
Method: DFT, PBE
State: optimized geometry

Properties
Crystal system ... orthorhombic
V ... 27.29 A^3/atom
Formation energy from the elements ... -180 kJ/mol of formula units

abc: 5.4287 8.6074 7.0076
angles: 90.00 90.00 90.00
Closest atoms and distances in Å follow each position.
Space group Imma (No. 74)
Unique sites:
Sr 0.0000 0.0000 0.0000 (multiplicity 4)  4 Pt 3.09
Hg 0.0000 0.2500 0.3928 (multiplicity 4)  2 Pt 2.85
Pt 0.2500 0.2500 0.7500 (multiplicity 4)  2 Pt 2.71, 2 Hg 2.85

***

[3]
Material: Tb7Ho4Tl
Method: DFT, PBE
State: optimized geometry

Properties
Crystal system ... trigonal
V ... 31.14 A^3/atom
Formation energy from the elements ... -28 kJ/mol of formula units

abc: 3.5534 3.5534 34.1749
angles: 90.00 90.00 120.00
Closest atoms and distances in Å follow each position.
Space group P-3m1 (No. 164)
Unique sites:
Tb 0.0000 0.0000 0.0000 (multiplicity 1)  6 Ho 3.54, 6 Tb 3.55
Tb 0.0000 0.0000 0.2537 (multiplicity 2)  3 Ho 3.54, 9 Tb 3.55-3.56
Tb 0.3333 0.6667 0.1686 (multiplicity 2)  3 Ho 3.53, 9 Tb 3.55-3.56
Tb 0.3333 0.6667 0.4218 (multiplicity 2)  3 Tl 3.37, 3 Ho 3.52, 6 Tb 3.55
Ho 0.3333 0.6667 0.6619 (multiplicity 2)  6 Tb 3.52-3.54, 6 Ho 3.55
Ho 0.3333 0.6667 0.9157 (multiplicity 2)  6 Tb 3.53-3.54, 6 Ho 3.55
Tl 0.0000 0.0000 0.5000 (multiplicity 1)  6 Tb 3.37, 6 Tl 3.55

***

[4]
Material: NaSr3Ir
Method: DFT, PBE
State: optimized geometry

Properties
Crystal system ... hexagonal
V ... 34.14 A^3/atom
Formation energy from the elements ... -5 kJ/mol of formula units
Offset from the most stable computed form ... 112 meV/atom

abc: 5.7102 5.7102 12.0908
angles: 90.00 90.00 120.00
Closest atoms and distances in Å follow each position.
Space group P6_3/mmc (No. 194)
Unique sites:
Na 0.3333 0.6667 0.2500 (multiplicity 2)  3 Sr 3.30
Sr 0.0000 0.0000 0.2500 (multiplicity 2)  2 Ir 3.02, 3 Na 3.30
Sr 0.3333 0.6667 0.5572 (multiplicity 4)  3 Ir 3.37, 3 Sr 3.57, 1 Na 3.71
Ir 0.0000 0.0000 0.0000 (multiplicity 2)  8 Sr 3.02-3.37

***

[5]
Material: Pr4Al2Cd
Method: DFT, PBE
State: optimized geometry

Properties
Crystal system ... trigonal
V ... 29.97 A^3/atom
Formation energy from the elements ... -149 kJ/mol of formula units

abc: 5.3308 5.3308 25.5752
angles: 90.00 90.00 120.00
Closest atoms and distances in Å follow each position.
Space group R-3m (No. 166, hexagonal axes)
Unique sites:
Pr 0.0000 0.0000 0.1166 (multiplicity 6)  4 Al 3.16-3.29, 3 Cd 3.33
Pr 0.0000 0.0000 0.3692 (multiplicity 6)  4 Al 3.17-3.35, 1 Cd 3.34
Al 0.0000 0.0000 0.2453 (multiplicity 6)  8 Pr 3.16-3.35
Cd 0.0000 0.0000 0.5000 (multiplicity 3)  8 Pr 3.33-3.34, 6 Al 3.68

***

[6]
Material: CrAgSe2
Method: DFT, PBE
State: optimized geometry

Properties
Crystal system ... orthorhombic
V ... 22.31 A^3/atom
Uncorrected formation energy ... 0.1 eV per formula unit

abc: 3.6384 6.4255 7.6352
angles: 90.00 90.00 90.00
Closest atoms and distances in Å follow each position.
Space group Immm (No. 71)
Unique sites:
Cr 0.0000 0.0000 0.0000 (multiplicity 2)  4 Se 2.47
Ag 0.0000 0.0000 0.5000 (multiplicity 2)  4 Se 2.81
Se 0.0000 0.5000 0.2810 (multiplicity 4)  2 Cr 2.47

***

[7]
Material: PaTl2InO6
Method: DFT, PBE
State: optimized geometry

Properties
Crystal system ... trigonal
V ... 15.55 A^3/atom
Uncorrected formation energy ... -18.2 eV per formula unit

abc: 5.9184 5.9184 15.3791
angles: 90.00 90.00 120.00
Closest atoms and distances in Å follow each position.
Space group R3 (No. 146, hexagonal axes)
Unique sites:
Pa 0.0000 0.0000 0.0000 (multiplicity 3)  6 O 2.16-2.26
Tl 0.0000 0.0000 0.2121 (multiplicity 3)  6 O 2.26-2.49
Tl 0.0000 0.0000 0.7474 (multiplicity 3)  3 O 2.68
In 0.0000 0.0000 0.5019 (multiplicity 3)  6 O 2.18-2.28
O 0.0013 0.6332 0.2530 (multiplicity 9)  1 Pa 2.26, 1 Tl 2.26, 1 In 2.28
O 0.0173 0.4599 0.7575 (multiplicity 9)  1 Pa 2.16, 1 In 2.18

***

[8]
Material: KHf3C
Method: DFT, PBE
State: optimized geometry

Properties
Crystal system ... cubic
V ... 22.18 A^3/atom
Formation energy from the elements ... 1652 kJ/mol of formula units
Offset from the most stable computed form ... 2841 meV/atom

abc: 4.8043 4.8043 4.8043
angles: 90.00 90.00 90.00
Closest atoms and distances in Å follow each position.
Space group Pm-3m (No. 221)
Unique sites:
K 0.0000 0.0000 0.0000 (multiplicity 1)  6 Hf 2.40
Hf 0.0000 0.0000 0.5000 (multiplicity 3)  2 K 2.40
C 0.5000 0.5000 0.5000 (multiplicity 1)  12 Hf 3.40

***

[9]
Material: CaMg2Ta
Method: DFT, PBE
State: optimized geometry

Properties
Crystal system ... orthorhombic
V ... 22.96 A^3/atom
Formation energy from the elements ... 179 kJ/mol of formula units

abc: 3.1052 5.4525 10.8475
angles: 90.00 90.00 90.00
Closest atoms and distances in Å follow each position.
Space group Imm2 (No. 44)
Unique sites:
Ca 0.0000 0.0000 0.0000 (multiplicity 2)  2 Ca 3.11, 6 Mg 3.14-3.26, 2 Ta 3.31
Mg 0.0000 0.0000 0.4980 (multiplicity 2)  2 Ta 2.93, 4 Mg 3.01-3.11, 4 Ca 3.14
Mg 0.0000 0.5000 0.2356 (multiplicity 2)  4 Mg 3.01-3.11, 4 Ta 3.16, 2 Ca 3.26
Ta 0.0000 0.5000 0.7691 (multiplicity 2)  6 Mg 2.93-3.16, 2 Ta 3.11

***

[10]
Material: ScRh2Se
Method: DFT, PBE
State: optimized geometry

Properties
Crystal system ... cubic
V ... 16.44 A^3/atom
Uncorrected formation energy ... -1.4 eV per formula unit
Offset from the most stable computed form ... 280 meV/atom

abc: 6.4072 6.4072 6.4072
angles: 90.00 90.00 90.00
Closest atoms and distances in Å follow each position.
Space group F-43m (No. 216)
Unique sites:
Sc 0.0000 0.0000 0.0000 (multiplicity 4)  4 Se 2.77, 4 Rh 2.77
Rh 0.0000 0.0000 0.5000 (multiplicity 4)  4 Se 2.77, 4 Rh 2.77
Rh 0.2500 0.2500 0.2500 (multiplicity 4)  4 Sc 2.77, 4 Rh 2.77
Se 0.2500 0.2500 0.7500 (multiplicity 4)  4 Sc 2.77, 4 Rh 2.77

***

[11]
Material: Li3ClO
Method: DFT, PBE
State: optimized geometry

Properties
Crystal system ... monoclinic
V ... 13.85 A^3/atom
Uncorrected formation energy ... -8.7 eV per formula unit
Offset from the most stable computed form ... 93 meV/atom

abc: 12.8429 3.2146 6.8728
angles: 90.00 102.58 90.00
Closest atoms and distances in Å follow each position.
Space group C2/m (No. 12)
Unique sites:
Li 0.0639 0.0000 0.2753 (multiplicity 4)  2 O 1.97, 1 Li 2.19
Li 0.1834 0.5000 0.1147 (multiplicity 4)  1 O 1.83
Li 0.1944 0.0000 0.5393 (multiplicity 4)  3 O 1.97-2.03, 1 Li 2.19
Cl 0.1244 0.0000 0.8681 (multiplicity 4)  5 Li 2.34-2.61
O 0.1499 0.5000 0.3609 (multiplicity 4)  6 Li 1.83-2.03

***

[12]
Material: HoEr2ZrAs4
Method: DFT, PBE
State: optimized geometry

Properties
Crystal system ... monoclinic
V ... 23.02 A^3/atom
Formation energy from the elements ... -1097 kJ/mol of formula units

abc: 6.9668 4.0199 6.9679
angles: 90.00 109.30 90.00
Closest atoms and distances in Å follow each position.
Space group P2/m (No. 10)
Unique sites:
Ho 0.0000 0.0000 0.0000 (multiplicity 1)  6 As 2.85
Er 0.5000 0.0000 0.5000 (multiplicity 1)  6 As 2.84
Er 0.5000 0.5000 0.0000 (multiplicity 1)  6 As 2.89
Zr 0.0000 0.5000 0.5000 (multiplicity 1)  6 As 2.79-2.80
As 0.2426 0.0000 0.7418 (multiplicity 2)  2 Zr 2.80, 3 Er 2.84-2.89, 1 Ho 2.85
As 0.2465 0.5000 0.2550 (multiplicity 2)  1 Zr 2.79, 3 Er 2.84-2.89, 2 Ho 2.85

***

[13]
Material: TlCuCl3
Method: DFT, PBE
State: optimized geometry

Properties
Crystal system ... trigonal
V ... 30.94 A^3/atom
Uncorrected formation energy ... -3.2 eV per formula unit

abc: 7.0983 7.0983 21.2710
angles: 90.00 90.00 120.00
Closest atoms and distances in Å follow each position.
Space group R-3c (No. 167, hexagonal axes)
Unique sites:
Tl 0.0000 0.0000 0.0000 (multiplicity 6)  6 Cl 3.03
Cu 0.0000 0.0000 0.2500 (multiplicity 6)  3 Cl 2.19
Cl 0.0000 0.3091 0.2500 (multiplicity 18)  1 Cu 2.19

***

[14]
Material: Sm2SbF
Method: DFT, PBE
State: optimized geometry

Properties
Crystal system ... trigonal
V ... 24.66 A^3/atom
Uncorrected formation energy ... -6.5 eV per formula unit

abc: 4.1550 4.1550 19.7944
angles: 90.00 90.00 120.00
Closest atoms and distances in Å follow each position.
Space group R-3m (No. 166, hexagonal axes)
Unique sites:
Sm 0.0000 0.0000 0.2370 (multiplicity 6)  3 F 2.77, 3 Sb 3.06
Sb 0.0000 0.0000 0.0000 (multiplicity 3)  6 Sm 3.06
F 0.0000 0.0000 0.5000 (multiplicity 3)  6 Sm 2.77

***

[15]
Material: TaTiPS2
Method: DFT, PBE
State: optimized geometry

Properties
Crystal system ... tetragonal
V ... 21.52 A^3/atom
Uncorrected formation energy ... 0.5 eV per formula unit
Offset from the most stable computed form ... 0 meV/atom

abc: 4.6884 4.6884 4.8944
angles: 90.00 90.00 90.00
Closest atoms and distances in Å follow each position.
Space group P4/mmm (No. 123)
Unique sites:
Ta 0.0000 0.0000 0.0000 (multiplicity 1)  4 S 2.34, 2 P 2.45
Ti 0.5000 0.5000 0.5000 (multiplicity 1)  4 P 3.32, 8 S 3.39
P 0.0000 0.0000 0.5000 (multiplicity 1)  2 Ta 2.45
S 0.0000 0.5000 0.0000 (multiplicity 2)  2 Ta 2.34

***

[16]
Material: In2Ni6B
Method: DFT, PBE
State: optimized geometry

Properties
Crystal system ... orthorhombic
V ... 13.33 A^3/atom
Formation energy from the elements ... 14 kJ/mol of formula units

abc: 3.0277 6.8227 11.6177
angles: 90.00 90.00 90.00
Closest atoms and distances in Å follow each position.
Space group Immm (No. 71)
Unique sites:
In 0.0000 0.0000 0.1349 (multiplicity 4)  8 Ni 2.63-2.67
Ni 0.0000 0.1817 0.3345 (multiplicity 8)  1 B 2.29, 3 Ni 2.45-2.48
Ni 0.0000 0.3160 0.0000 (multiplicity 4)  2 B 1.97
B 0.0000 0.0000 0.5000 (multiplicity 2)  4 Ni 1.97

***

[17]
Material: Ba2AcTlS4
Method: DFT, PBE
State: optimized geometry

Properties
Crystal system ... monoclinic
V ... 32.14 A^3/atom
Uncorrected formation energy ... -14.0 eV per formula unit

abc: 7.6863 4.5084 7.8384
angles: 90.00 108.81 90.00
Closest atoms and distances in Å follow each position.
Space group P2/m (No. 10)
Unique sites:
Ba 0.0000 0.0000 0.0000 (multiplicity 1)  6 S 3.30-3.31
Ba 0.0000 0.5000 0.5000 (multiplicity 1)  6 S 3.12-3.13
Ac 0.5000 0.0000 0.5000 (multiplicity 1)  6 S 3.00-3.09
Tl 0.5000 0.5000 0.0000 (multiplicity 1)  6 S 3.20-3.26
S 0.2520 0.0000 0.7280 (multiplicity 2)  1 Ac 3.00, 3 Ba 3.13-3.31, 2 Tl 3.26
S 0.2639 0.5000 0.2691 (multiplicity 2)  2 Ac 3.09, 3 Ba 3.12-3.30, 1 Tl 3.20

***

[18]
Material: NaCa4Sn4
Method: DFT, PBE
State: optimized geometry

Properties
Crystal system ... tetragonal
V ... 34.69 A^3/atom
Formation energy from the elements ... -350 kJ/mol of formula units

abc: 9.9009 9.9009 6.3706
angles: 90.00 90.00 90.00
Closest atoms and distances in Å follow each position.
Space group P4_2/n (No. 86, origin choice 2)
Unique sites:
Na 0.2500 0.2500 0.2500 (multiplicity 2)  4 Sn 3.08
Ca 0.0761 0.6558 0.1229 (multiplicity 8)  5 Sn 3.24-3.32
Sn 0.0195 0.6180 0.6243 (multiplicity 8)  1 Sn 2.85, 1 Na 3.08

***

[19]
Material: Hf4Ga2Mo
Method: DFT, PBE
State: optimized geometry

Properties
Crystal system ... orthorhombic
V ... 20.09 A^3/atom
Formation energy from the elements ... -122 kJ/mol of formula units
Offset from the most stable computed form ... 0 meV/atom

abc: 7.1265 9.0318 4.3707
angles: 90.00 90.00 90.00
Closest atoms and distances in Å follow each position.
Space group Cmmm (No. 65)
Unique sites:
Hf 0.2349 0.0000 0.0000 (multiplicity 4)  4 Ga 2.83-2.93, 2 Mo 2.89, 4 Hf 3.14
Hf 0.2500 0.2500 0.5000 (multiplicity 4)  4 Ga 2.82, 2 Mo 2.88, 4 Hf 3.14
Ga 0.0000 0.2669 0.0000 (multiplicity 4)  8 Hf 2.82-2.93, 2 Mo 3.03
Mo 0.0000 0.5000 0.5000 (multiplicity 2)  8 Hf 2.88-2.89, 4 Ga 3.03

***

[20]
Material: CdIn2N2
Method: DFT, PBE
State: optimized geometry

Properties
Crystal system ... monoclinic
V ... 20.62 A^3/atom
Uncorrected formation energy ... 3.1 eV per formula unit

abc: 4.4857 4.4866 10.2494
angles: 90.00 91.17 90.00
Closest atoms and distances in Å follow each position.
Space group C2/m (No. 12)
Unique sites:
Cd 0.0000 0.0000 0.0000 (multiplicity 2)  2 N 2.66
In 0.0099 0.5000 0.2646 (multiplicity 4)  4 N 2.24
N 0.0097 0.0000 0.2594 (multiplicity 4)  4 In 2.24

***

[21]
Material: SiHg2Te
Method: DFT, PBE
State: optimized geometry

Properties
Crystal system ... orthorhombic
V ... 26.21 A^3/atom
Uncorrected formation energy ... 1.2 eV per formula unit
Offset from the most stable computed form ... 175 meV/atom

abc: 3.7575 4.2872 13.0183
angles: 90.00 90.00 90.00
Closest atoms and distances in Å follow each position.
Space group Immm (No. 71)
Unique sites:
Si 0.0000 0.0000 0.0000 (multiplicity 2)  4 Te 2.85
Hg 0.0000 0.5000 0.2991 (multiplicity 4)  4 Hg 3.12, 2 Si 3.22, 2 Te 3.38
Te 0.0000 0.0000 0.5000 (multiplicity 2)  4 Si 2.85

***

[22]
Material: Tb2PmPr6Mg
Method: DFT, PBE
State: optimized geometry

Properties
Crystal system ... monoclinic
V ... 34.27 A^3/atom
Formation energy from the elements ... 97 kJ/mol of formula units

abc: 10.5101 13.8722 9.5552
angles: 90.00 100.30 90.00
Closest atoms and distances in Å follow each position.
Space group C2/c (No. 15)
Unique sites:
Tb 0.2340 0.0335 0.0941 (multiplicity 8)  2 Pm 3.38-3.76, 1 Mg 3.45, 6 Pr 3.46-3.75
Pm 0.0000 0.0644 0.7500 (multiplicity 4)  4 Pr 3.30-3.69, 2 Tb 3.38
Pr 0.0548 0.3828 0.5960 (multiplicity 8)  2 Mg 3.26-3.42, 3 Pr 3.35-3.59, 2 Tb 3.56
Pr 0.0901 0.1693 0.4244 (multiplicity 8)  4 Pr 3.44-3.84, 1 Tb 3.46, 1 Mg 3.68, 2 Pm 3.69-3.71
Pr 0.2470 0.2136 0.8278 (multiplicity 8)  1 Pm 3.30, 1 Mg 3.30, 3 Pr 3.43-3.59, 2 Tb 3.58-3.59
Mg 0.0000 0.4021 0.2500 (multiplicity 4)  6 Pr 3.26-3.42, 2 Tb 3.45

***

[23]
Material: Pm3Nd2Sc
Method: DFT, PBE
State: optimized geometry

Properties
Crystal system ... orthorhombic
V ... 33.54 A^3/atom
Formation energy from the elements ... 150 kJ/mol of formula units
Offset from the most stable computed form ... 222 meV/atom

abc: 6.7060 17.6939 3.3917
angles: 90.00 90.00 90.00
Closest atoms and distances in Å follow each position.
Space group Pnnm (No. 58)
Unique sites:
Pm 0.0000 0.0000 0.0000 (multiplicity 2)  2 Pm 3.39, 4 Nd 3.52, 4 Sc 3.76
Pm 0.2478 0.1790 0.5000 (multiplicity 4)  4 Nd 3.38-3.52, 2 Pm 3.39, 1 Sc 3.59
Nd 0.2489 0.8531 0.5000 (multiplicity 4)  1 Sc 3.10, 2 Pm 3.38-3.42, 2 Nd 3.39
Sc 0.0000 0.5000 0.0000 (multiplicity 2)  2 Nd 3.10, 2 Sc 3.39

***

[24]
Material: In2Hg5Pb4
Method: DFT, PBE
State: optimized geometry

Properties
Crystal system ... monoclinic
V ... 28.15 A^3/atom
Formation energy from the elements ... 29 kJ/mol of formula units

abc: 8.4542 3.3067 11.1233
angles: 90.00 95.21 90.00
Closest atoms and distances in Å follow each position.
Space group P2/m (No. 10)
Unique sites:
In 0.0653 0.0000 0.1404 (multiplicity 2)  2 Hg 3.13-3.14, 3 In 3.22-3.31, 2 Pb 3.49
Hg 0.1935 0.0000 0.6749 (multiplicity 2)  1 In 3.13, 4 Hg 3.28-3.38, 4 Pb 3.34-3.42
Hg 0.4316 0.0000 0.2199 (multiplicity 2)  4 Hg 3.12-3.31, 1 In 3.14, 2 Pb 3.41
Hg 0.5000 0.0000 0.5000 (multiplicity 1)  6 Hg 3.12-3.38, 4 Pb 3.32
Pb 0.1693 0.5000 0.4126 (multiplicity 2)  3 Pb 3.31-3.60, 8 Hg 3.32-3.62, 2 In 3.49
Pb 0.3022 0.5000 0.9382 (multiplicity 2)  3 Pb 3.31-3.50, 6 Hg 3.41-3.62, 4 In 3.55-3.56